[1]
First-principles (GGA-PBE) data for a relaxed Li4ZrTe crystal, as listed in Alexandria via LeMat-Bulk.

Output
* total magnetization: 7.95 μB per cell
* calculated total energy: -75.84 eV/cell
* calculated volume: 19.00 Å³ per atom
* DOS at the Fermi energy: 0.6881 states/eV/atom

Cell and atoms, written as CIF:
```
data_Li4ZrTe
_cell_length_a 7.697
_cell_length_b 7.697
_cell_length_c 7.697
_cell_angle_alpha 90.00
_cell_angle_beta 90.00
_cell_angle_gamma 90.00
_space_group_name_H-M_alt 'F -4 3 m'
_space_group_IT_number 216
_space_group_name_Hall 'F -4 2 3'
loop_
_atom_site_label
_atom_site_type_symbol
_atom_site_fract_x
_atom_site_fract_y
_atom_site_fract_z
Li1 Li 0.125 0.125 0.125
Zr1 Zr 0.000 0.000 0.500
Te1 Te 0.250 0.250 0.750
```

=====

[2]
First-principles (GGA-PBE) data for a relaxed LiZr3Te6 crystal, as listed in Alexandria via LeMat-Bulk.

Output
* total magnetization: 0.01 μB per cell
* calculated total energy: -216.78 eV/cell
* calculated volume: 28.46 Å³ per atom
* DOS at the Fermi energy: 0.5253 states/eV/atom

Cell and atoms, written as CIF:
```
data_LiZr3Te6
_cell_length_a 11.450
_cell_length_b 13.988
_cell_length_c 7.107
_cell_angle_alpha 90.00
_cell_angle_beta 90.00
_cell_angle_gamma 90.00
_space_group_name_H-M_alt 'C m c 21'
_space_group_IT_number 36
_space_group_name_Hall 'C 2c -2'
loop_
_atom_site_label
_atom_site_type_symbol
_atom_site_fract_x
_atom_site_fract_y
_atom_site_fract_z
Li1 Li 0.000 0.224 0.000
Zr1 Zr 0.000 0.405 0.638
Zr2 Zr 0.168 0.099 0.530
Te1 Te 0.000 0.041 0.854
Te2 Te 0.000 0.234 0.378
Te3 Te 0.167 0.464 0.337
Te4 Te 0.183 0.281 0.781
```

=====

[3]
First-principles (GGA-PBE) data for a relaxed LiZrTe crystal, as listed in Alexandria via LeMat-Bulk.

Output
* total magnetization: 0.05 μB per cell
* calculated total energy: -54.17 eV/cell
* calculated volume: 25.04 Å³ per atom
* offset from the most stable computed form: 2.34 eV/f.u.
* DOS at the Fermi energy: 1.3353 states/eV/atom

Cell and atoms, written as CIF:
```
data_LiZrTe
_cell_length_a 6.698
_cell_length_b 6.698
_cell_length_c 6.698
_cell_angle_alpha 90.00
_cell_angle_beta 90.00
_cell_angle_gamma 90.00
_space_group_name_H-M_alt 'F -4 3 m'
_space_group_IT_number 216
_space_group_name_Hall 'F -4 2 3'
loop_
_atom_site_label
_atom_site_type_symbol
_atom_site_fract_x
_atom_site_fract_y
_atom_site_fract_z
Li1 Li 0.000 0.000 0.000
Zr1 Zr 0.250 0.250 0.750
Te1 Te 0.000 0.000 0.500
```

=====

[4]
First-principles (GGA-PBE) data for a relaxed LiZr4Te8 crystal, as listed in Alexandria via LeMat-Bulk.

Output
* total magnetization: 0.00 μB per cell
* calculated total energy: -146.50 eV/cell
* calculated volume: 30.04 Å³ per atom
* DOS at the Fermi energy: 0.2291 states/eV/atom

Cell and atoms, written as CIF:
```
data_LiZr4Te8
_cell_length_a 13.760
_cell_length_b 7.946
_cell_length_c 9.900
_cell_angle_alpha 90.00
_cell_angle_beta 133.82
_cell_angle_gamma 90.00
_space_group_name_H-M_alt 'C 1 2/m 1'
_space_group_IT_number 12
_space_group_name_Hall '-C 2y'
loop_
_atom_site_label
_atom_site_type_symbol
_atom_site_fract_x
_atom_site_fract_y
_atom_site_fract_z
Li1 Li 0.000 0.000 0.000
Zr1 Zr 0.000 0.255 0.500
Zr2 Zr 0.249 0.500 0.501
Te1 Te 0.043 0.000 0.751
Te2 Te 0.044 0.500 0.756
Te3 Te 0.207 0.253 0.245
```

=====

[5]
First-principles (GGA-PBE) data for a relaxed LiZrTe crystal, as listed in Alexandria via LeMat-Bulk.

Output
* total magnetization: 0.00 μB per cell
* calculated total energy: -29.55 eV/cell
* calculated volume: 20.84 Å³ per atom
* offset from the most stable computed form: 1.11 eV/f.u.
* DOS at the Fermi energy: 0.9366 states/eV/atom

Cell and atoms, written as CIF:
```
data_LiZrTe
_cell_length_a 3.602
_cell_length_b 3.602
_cell_length_c 9.638
_cell_angle_alpha 90.00
_cell_angle_beta 90.00
_cell_angle_gamma 90.00
_space_group_name_H-M_alt 'I 4 m m'
_space_group_IT_number 107
_space_group_name_Hall 'I 4 -2'
loop_
_atom_site_label
_atom_site_type_symbol
_atom_site_fract_x
_atom_site_fract_y
_atom_site_fract_z
Li1 Li 0.000 0.000 0.000
Zr1 Zr 0.000 0.000 0.688
Te1 Te 0.000 0.000 0.363
```

=====

[6]
First-principles (GGA-PBE) data for a relaxed LiZrTe crystal, as listed in Alexandria via LeMat-Bulk.

Output
* total magnetization: 0.00 μB per cell
* calculated total energy: -14.75 eV/cell
* calculated volume: 19.68 Å³ per atom
* offset from the most stable computed form: 1.13 eV/f.u.
* DOS at the Fermi energy: 0.7187 states/eV/atom

Cell and atoms, written as CIF:
```
data_LiZrTe
_cell_length_a 4.3300
_cell_length_b 4.3300
_cell_length_c 3.6360
_cell_angle_alpha 90.00
_cell_angle_beta 90.00
_cell_angle_gamma 120.00
_space_group_name_H-M_alt 'P 3 m 1'
_space_group_IT_number 156
_space_group_name_Hall 'P 3 -2"'
loop_
_atom_site_label
_atom_site_type_symbol
_atom_site_fract_x
_atom_site_fract_y
_atom_site_fract_z
Li1 Li 0.0000 0.0000 0.0000
Zr1 Zr 0.6667 0.3333 0.4990
Te1 Te 0.3333 0.6667 0.9985
```